Entry 1:
20
Lattice="7.3480 0.0000 0.0000 -3.6740 6.3636 0.0000 0.0000 0.0000 13.2621" Properties=species:S:1:pos:R:3 comment="PBE Na3ErBr6, optimized geometry" total_energy_ev_per_atom=-3.542 space_group="No. 163" m_tot_mub_per_cell=0.0 pbc="T T T"
Na 0.0000 0.0000 3.3155
Na 0.0000 0.0000 9.9466
Na 0.0000 4.2424 0.4864
Na 0.0000 4.2424 6.1446
Na 3.6740 2.1212 7.1175
Na 3.6740 2.1212 12.7756
Er 0.0000 4.2424 9.9466
Er 3.6740 2.1212 3.3155
Br -1.0211 2.2510 8.2957
Br -2.2351 4.3538 11.5974
Br 1.0211 2.2510 11.5974
Br -1.2141 6.1224 8.2957
Br 2.4600 0.2412 1.6647
Br 1.4389 2.0098 4.9664
Br 2.2351 4.3538 8.2957
Br 1.2141 6.1224 11.5974
Br 4.8881 0.2412 4.9664
Br 2.6530 4.1126 1.6647
Br 5.9091 2.0098 1.6647
Br 4.6951 4.1126 4.9664



Entry 2:
5
Lattice="4.0567 0.0000 0.0000 -2.0283 3.5132 0.0000 0.0000 0.0000 10.5032" Properties=species:S:1:pos:R:3 comment="PBE NdErPBr2, optimized geometry" total_energy_ev_per_atom=-5.372 space_group="No. 156" m_tot_mub_per_cell=0.0 pbc="T T T"
Nd 0.0000 0.0000 0.0000
Er 2.0283 1.1711 3.1021
P 0.0000 2.3421 1.6593
Br 0.0000 0.0000 4.8801
Br 2.0283 1.1711 8.5884



Entry 3:
11
Lattice="3.7415 0.0000 0.0000 0.0000 7.5081 0.0000 0.0000 0.0000 8.5137" Properties=species:S:1:pos:R:3 comment="PBE Er4Br4O3, optimized geometry" total_energy_ev_per_atom=-6.236 space_group="No. 25" m_tot_mub_per_cell=0.0 pbc="T T T"
Er 0.0000 0.0000 0.0000
Er 0.0000 3.7541 0.0565
Er 1.8707 1.8596 2.3389
Er 1.8707 5.6485 2.3389
Br 0.0000 0.0000 3.9446
Br 0.0000 3.7541 3.9852
Br 1.8707 1.8873 6.9055
Br 1.8707 5.6208 6.9055
O 0.0000 1.8120 1.1820
O 0.0000 5.6961 1.1820
O 1.8707 3.7541 1.1936



Entry 4:
10
Lattice="6.9277 0.0000 0.0000 0.0000 3.6756 0.0000 -2.4688 0.0000 7.5915" Properties=species:S:1:pos:R:3 comment="PBE ErSbBrO2, optimized geometry" total_energy_ev_per_atom=-6.011 space_group="No. 11" m_tot_mub_per_cell=0.0 pbc="T T T"
Er 0.1113 0.9189 3.1842
Er 4.3476 2.7567 4.4073
Sb -0.9253 0.9189 7.1309
Sb 5.3842 2.7567 0.4606
Br 1.4347 2.7567 5.0827
Br 3.0242 0.9189 2.5088
O -1.4672 0.9189 4.8141
O 0.1711 0.9189 1.0122
O 4.2878 2.7567 6.5793
O 5.9261 2.7567 2.7774



Entry 5:
6
Lattice="3.7791 0.0000 0.0000 0.0000 3.7791 0.0000 0.0000 0.0000 8.6295" Properties=species:S:1:pos:R:3 comment="PBE ErTmBr2O2, optimized geometry" total_energy_ev_per_atom=-6.651 space_group="No. 99" m_tot_mub_per_cell=0.0 pbc="T T T"
Er 0.0000 0.0000 0.0000
Tm 1.8896 1.8896 6.3889
Br 0.0000 0.0000 4.7231
Br 1.8896 1.8896 1.6648
O 0.0000 1.8896 7.4996
O 1.8896 0.0000 7.4996



Entry 6:
6
Lattice="3.8232 0.0000 0.0000 0.0000 3.8232 0.0000 0.0000 0.0000 8.6167" Properties=species:S:1:pos:R:3 comment="PBE YErBr2O2, optimized geometry" total_energy_ev_per_atom=-6.958 space_group="No. 99" m_tot_mub_per_cell=0.0 pbc="T T T"
Y 0.0000 0.0000 0.0000
Er 1.9116 1.9116 2.2625
Br 0.0000 0.0000 3.9200
Br 1.9116 1.9116 6.9605
O 0.0000 1.9116 1.1562
O 1.9116 0.0000 1.1562